(1)
Density functional theory data (PBE) for a relaxed structure of KMnAu2.

Properties
- Space-group type: F-43m
- E_form: 0.37 eV/atom

abc: 4.9708 4.9708 4.9708
angles: 60.00 60.00 60.00
Closest atoms and distances in Å follow each position.
Atoms (fractional coordinates):
Au  0.0000  0.0000  0.0000  4 Au 3.04, 4 Mn 3.04
Au  0.2500  0.2500  0.2500  4 K 3.04, 4 Au 3.04
K  0.5000  0.5000  0.5000  4 Mn 3.04, 4 Au 3.04
Mn  0.7500  0.7500  0.7500  4 K 3.04, 4 Au 3.04


(2)
Density functional theory data (PBE) for a relaxed structure of K2MnAu.

Properties
- Space-group type: Imm2
- Energy relative to the lowest polymorph listed for this composition: 107 meV/atom
- E_form: 0.28 eV/atom

abc: 6.9218 6.9218 6.9218
angles: 146.31 130.22 61.46
Closest atoms and distances in Å follow each position.
Atoms (fractional coordinates):
Au  0.2933  0.7933  0.5000  2 Mn 2.60
K  0.0395  0.0395  0.0000  2 Au 3.63, 4 K 3.73-4.01, 4 Mn 3.76
K  0.7346  0.2346  0.5000  4 Au 3.61, 4 K 3.73-4.01, 2 Mn 3.75
Mn  0.4326  0.4326  0.0000  2 Au 2.60


(3)
Density functional theory data (PBE) for a relaxed structure of KMnAu3.

Properties
- Space-group type: Pm-3m
- Energy relative to the lowest polymorph listed for this composition: 1232 meV/atom
- E_form: 1.35 eV/atom

abc: 5.5058 5.5058 5.5058
angles: 90.00 90.00 90.00
Closest atoms and distances in Å follow each position.
Atoms (fractional coordinates):
K  0.0000  0.0000  0.0000  6 Au 2.75
Mn  0.5000  0.5000  0.5000  12 Au 3.89
Au  0.0000  0.5000  0.0000  2 K 2.75
Au  0.0000  0.0000  0.5000  2 K 2.75
Au  0.5000  0.0000  0.0000  2 K 2.75


(4)
Density functional theory data (PBE) for a relaxed structure of K2MnAu.

Properties
- Space-group type: Pmm2
- Energy relative to the lowest polymorph listed for this composition: 28 meV/atom
- E_form: 0.20 eV/atom

abc: 3.6993 3.7782 10.0662
angles: 90.00 90.00 90.00
Closest atoms and distances in Å follow each position.
Atoms (fractional coordinates):
Au  0.5000  0.5000  0.6569  4 Mn 2.71
K  0.0000  0.0000  0.9177  1 Mn 3.21
K  0.5000  0.5000  0.3264  1 Au 3.33, 2 K 3.70
Mn  0.0000  0.0000  0.5990  4 Au 2.71


(5)
Density functional theory data (PBE) for a relaxed structure of KMnAu2.

Properties
- Space-group type: Immm
- E_form: 0.22 eV/atom

abc: 5.3431 5.3431 5.3431
angles: 130.92 115.11 85.46
Closest atoms and distances in Å follow each position.
Atoms (fractional coordinates):
Au  0.0553  0.0553  0.0000  2 Mn 2.69
Au  0.4447  0.4447  0.0000  2 Mn 2.69
K  0.7500  0.2500  0.5000  8 Au 3.25-3.27, 4 Mn 3.63
Mn  0.2500  0.7500  0.5000  4 Au 2.69


(6)
Density functional theory data (PBE) for a relaxed structure of K2MnAu.

Properties
- Space-group type: Cm
- Energy relative to the lowest polymorph listed for this composition: 0 meV/atom
- E_form: 0.17 eV/atom

abc: 4.5374 4.5374 9.2944
angles: 76.40 76.40 59.94
Closest atoms and distances in Å follow each position.
Atoms (fractional coordinates):
Au  0.2084  0.2084  0.3751  3 Mn 2.62
K  0.9620  0.9620  0.1026  3 Au 3.58, 3 Mn 3.58
K  0.7880  0.7880  0.6474  3 Mn 3.58, 3 Au 3.58
Mn  0.5416  0.5416  0.3749  3 Au 2.62